Entry 1:
Compound: La2PmPr6Nd
Source: Alexandria via LeMat-Bulk
Functional: PBE
Structure: relaxed

a b c (Å): 8.9951 8.9951 10.3119
angles (deg): 95.49 95.49 117.69
Closest atoms and distances in Å follow each position.
Positions (direct):
1 La 0.1884 0.2831 0.0410  5 Pr 3.37-3.64, 2 Nd 3.42-3.47, 1 Pm 3.69
2 La 0.2831 0.1884 0.5410  5 Pr 3.37-3.64, 2 Nd 3.42-3.47, 1 Pm 3.69
3 La 0.7169 0.8116 0.4590  5 Pr 3.37-3.64, 2 Nd 3.42-3.47, 1 Pm 3.69
4 La 0.8116 0.7169 0.9590  5 Pr 3.37-3.64, 2 Nd 3.42-3.47, 1 Pm 3.69
5 Pm 0.4041 0.5959 0.7500  8 Pr 3.50-3.86, 2 La 3.69
6 Pm 0.5959 0.4041 0.2500  8 Pr 3.50-3.86, 2 La 3.69
7 Pr 0.0188 0.5788 0.1884  4 Pr 3.42-3.78, 1 Pm 3.53, 1 La 3.53, 1 Nd 3.72
8 Pr 0.1172 0.7384 0.5552  7 Pr 3.53-3.93, 1 La 3.63, 1 Nd 3.68, 1 Pm 3.86
9 Pr 0.2616 0.8828 0.9448  7 Pr 3.53-3.93, 1 La 3.63, 1 Nd 3.68, 1 Pm 3.86
10 Pr 0.3008 0.5032 0.3793  3 La 3.37-3.64, 4 Pr 3.42-3.69, 2 Pm 3.50-3.76
11 Pr 0.4212 0.9812 0.3116  4 Pr 3.42-3.78, 1 Pm 3.53, 1 La 3.53, 1 Nd 3.72
12 Pr 0.4968 0.6992 0.1207  3 La 3.37-3.64, 4 Pr 3.42-3.69, 2 Pm 3.50-3.76
13 Pr 0.5032 0.3008 0.8793  3 La 3.37-3.64, 4 Pr 3.42-3.69, 2 Pm 3.50-3.76
14 Pr 0.5788 0.0188 0.6884  4 Pr 3.42-3.78, 1 Pm 3.53, 1 La 3.53, 1 Nd 3.72
15 Pr 0.6992 0.4968 0.6207  3 La 3.37-3.64, 4 Pr 3.42-3.69, 2 Pm 3.50-3.76
16 Pr 0.7384 0.1172 0.0552  7 Pr 3.53-3.93, 1 La 3.63, 1 Nd 3.68, 1 Pm 3.86
17 Pr 0.8828 0.2616 0.4448  7 Pr 3.53-3.93, 1 La 3.63, 1 Nd 3.68, 1 Pm 3.86
18 Pr 0.9812 0.4212 0.8116  4 Pr 3.42-3.78, 1 Pm 3.53, 1 La 3.53, 1 Nd 3.72
19 Nd 0.0112 0.9888 0.2500  4 La 3.42-3.47, 4 Pr 3.68-3.72
20 Nd 0.9888 0.0112 0.7500  4 La 3.42-3.47, 4 Pr 3.68-3.72

Results
Energy of formation from the pure elements ... 0.105 eV per atom
SG ... C2/c, No. 15
Mass density ... 6.461 g/cm³
Spin magnetization ... 0.000 μB per atom

=====

Entry 2:
Compound: LaPm2PrNd6
Source: Alexandria via LeMat-Bulk
Functional: PBE
Structure: relaxed

a b c (Å): 6.7408 6.7408 9.1327
angles (deg): 102.69 102.69 63.04
Closest atoms and distances in Å follow each position.
Positions (direct):
1 La 0.0000 0.0000 0.0000  4 Nd 3.43, 2 Pm 3.45
2 Pm 0.0837 0.0837 0.6638  1 Pm 3.11, 2 Nd 3.22, 1 La 3.45
3 Pm 0.9163 0.9163 0.3362  1 Pm 3.11, 2 Nd 3.22, 1 La 3.45
4 Pr 0.5000 0.5000 0.5000  10 Nd 3.63-3.99, 4 Pm 3.85
5 Nd 0.0527 0.5822 0.6991  2 Pm 3.22-3.57, 2 Nd 3.32-3.57, 1 La 3.43
6 Nd 0.3709 0.3709 0.0778  5 Nd 3.61-3.84, 1 Pr 3.76, 2 La 3.96
7 Nd 0.4178 0.9473 0.3009  2 Pm 3.22-3.57, 2 Nd 3.32-3.57, 1 La 3.43
8 Nd 0.5822 0.0527 0.6991  2 Pm 3.22-3.57, 2 Nd 3.32-3.57, 1 La 3.43
9 Nd 0.6291 0.6291 0.9222  5 Nd 3.61-3.84, 1 Pr 3.76, 2 La 3.96
10 Nd 0.9473 0.4178 0.3009  2 Pm 3.22-3.57, 2 Nd 3.32-3.57, 1 La 3.43

Results
Energy of formation from the pure elements ... 0.198 eV per atom
SG ... C2/m, No. 12
Mass density ... 6.669 g/cm³
Spin magnetization ... 0.000 μB per atom

=====

Entry 3:
Compound: LaPm6PrNd2
Source: Alexandria via LeMat-Bulk
Functional: PBE
Structure: relaxed

a b c (Å): 9.0223 9.0223 10.0076
angles (deg): 94.51 94.51 118.23
Closest atoms and distances in Å follow each position.
Positions (direct):
1 La 0.0953 0.9047 0.7500  8 Pm 3.53-3.92, 2 Nd 3.70
2 La 0.9047 0.0953 0.2500  8 Pm 3.53-3.92, 2 Nd 3.70
3 Pm 0.0055 0.7960 0.3787  4 Pm 3.32-3.69, 3 Nd 3.38-3.57, 2 La 3.53-3.69
4 Pm 0.0724 0.5256 0.1820  3 Pm 3.32-3.71, 1 Nd 3.52, 1 La 3.58, 1 Pr 3.70
5 Pm 0.2040 0.9945 0.1213  4 Pm 3.32-3.69, 3 Nd 3.38-3.57, 2 La 3.53-3.69
6 Pm 0.2460 0.6168 0.5558  6 Pm 3.47-3.87, 1 Nd 3.56, 1 Pr 3.74
7 Pm 0.3832 0.7540 0.9442  6 Pm 3.47-3.87, 1 Nd 3.56, 1 Pr 3.74
8 Pm 0.4744 0.9276 0.3180  3 Pm 3.32-3.71, 1 Nd 3.52, 1 La 3.58, 1 Pr 3.70
9 Pm 0.5256 0.0724 0.6820  3 Pm 3.32-3.71, 1 Nd 3.52, 1 La 3.58, 1 Pr 3.70
10 Pm 0.6168 0.2460 0.0558  6 Pm 3.47-3.87, 1 Nd 3.56, 1 Pr 3.74
11 Pm 0.7540 0.3832 0.4442  6 Pm 3.47-3.87, 1 Nd 3.56, 1 Pr 3.74
12 Pm 0.7960 0.0055 0.8787  4 Pm 3.32-3.69, 3 Nd 3.38-3.57, 2 La 3.53-3.69
13 Pm 0.9276 0.4744 0.8180  3 Pm 3.32-3.71, 1 Nd 3.52, 1 La 3.58, 1 Pr 3.70
14 Pm 0.9945 0.2040 0.6213  4 Pm 3.32-3.69, 3 Nd 3.38-3.57, 2 La 3.53-3.69
15 Pr 0.4791 0.5209 0.2500  4 Nd 3.43-3.45, 4 Pm 3.70-3.74
16 Pr 0.5209 0.4791 0.7500  4 Nd 3.43-3.45, 4 Pm 3.70-3.74
17 Nd 0.2091 0.3099 0.9577  6 Pm 3.38-3.73, 2 Pr 3.43-3.45, 1 La 3.70
18 Nd 0.3099 0.2091 0.4577  6 Pm 3.38-3.73, 2 Pr 3.43-3.45, 1 La 3.70
19 Nd 0.6901 0.7909 0.5423  6 Pm 3.38-3.73, 2 Pr 3.43-3.45, 1 La 3.70
20 Nd 0.7909 0.6901 0.0423  6 Pm 3.38-3.73, 2 Pr 3.43-3.45, 1 La 3.70

Results
Energy of formation from the pure elements ... 0.114 eV per atom
SG ... C2/c, No. 15
Mass density ... 6.735 g/cm³
Spin magnetization ... 0.000 μB per atom

=====

Entry 4:
Compound: La2Pm3Pr6Nd
Source: Alexandria via LeMat-Bulk
Functional: PBE
Structure: relaxed

a b c (Å): 6.4232 6.4232 12.2756
angles (deg): 95.06 95.06 120.03
Closest atoms and distances in Å follow each position.
Positions (direct):
1 La 0.1667 0.8333 0.0000  3 Nd 3.71, 3 La 3.71, 6 Pr 3.72-3.73
2 La 0.8333 0.1667 0.0000  3 Nd 3.71, 3 La 3.71, 6 Pr 3.72-3.73
3 Pm 0.0000 0.0000 0.5000  6 Pr 3.68, 6 Pm 3.71
4 Pm 0.3335 0.6665 0.5000  6 Pr 3.68, 6 Pm 3.71
5 Pm 0.6665 0.3335 0.5000  6 Pr 3.68, 6 Pm 3.71
6 Pr 0.0828 0.4158 0.7477  3 Pm 3.68, 6 Pr 3.70-3.71, 1 Nd 3.72, 2 La 3.72-3.73
7 Pr 0.2511 0.2511 0.2524  3 Pm 3.68, 6 Pr 3.70-3.71, 2 La 3.72, 1 Nd 3.73
8 Pr 0.4158 0.0828 0.7477  3 Pm 3.68, 6 Pr 3.70-3.71, 1 Nd 3.72, 2 La 3.72-3.73
9 Pr 0.5842 0.9172 0.2523  3 Pm 3.68, 6 Pr 3.70-3.71, 1 Nd 3.72, 2 La 3.72-3.73
10 Pr 0.7489 0.7489 0.7476  3 Pm 3.68, 6 Pr 3.70-3.71, 2 La 3.72, 1 Nd 3.73
11 Pr 0.9172 0.5842 0.2523  3 Pm 3.68, 6 Pr 3.70-3.71, 1 Nd 3.72, 2 La 3.72-3.73
12 Nd 0.5000 0.5000 0.0000  6 La 3.71, 6 Pr 3.72-3.73

Results
Energy of formation from the pure elements ... 0.014 eV per atom
SG ... C2/m, No. 12
Mass density ... 6.550 g/cm³
Spin magnetization ... 0.000 μB per atom

=====

Which formula does entry 2 have?
LaPm2PrNd6